# SrZrTaTl2

A geometry-optimized SrZrTaTl2 structure (PBE, the Alexandria database).

The calculated formation energy is 0.666 eV per atom.

It has space group P4/mmm (No. 123), with a = 5.697 Å, b = 5.697 Å, c = 5.018 Å, α = 90.00°, β = 90.00° and γ = 90.00°. The inequivalent atoms are Sr at (0.000, 0.000, 0.000), Zr at (0.500, 0.500, 0.500), Ta at (0.500, 0.500, 0.000) and Tl at (0.000, 0.500, 0.500).



# TbSm2Tm

A geometry-optimized TbSm2Tm structure (PBE, the Alexandria database).

The calculated formation energy is 0.020 eV per atom. As for the energy above the most stable polymorph in this dataset: 4 meV/atom.

It has space group P4/mmm (No. 123), with a = 5.066 Å, b = 5.066 Å, c = 5.034 Å, α = 90.00°, β = 90.00° and γ = 90.00°. The inequivalent atoms are Tb at (0.000, 0.000, 0.000), Sm at (0.000, 0.500, 0.500) and Tm at (0.500, 0.500, 0.000).



# Sr3PtO6

A geometry-optimized Sr3PtO6 structure (PBE, the Alexandria database).

The total energy is -5.96 eV/atom.

It has space group R-3 (No. 148, hexagonal axes), with a = 9.9700 Å, b = 9.9700 Å, c = 11.5031 Å, α = 90.00°, β = 90.00° and γ = 120.00°. The inequivalent atoms are Sr at (0.0409, 0.7723, 0.2022), Pt at (0.0000, 0.0000, 0.0000), Pt at (0.0000, 0.0000, 0.5000), O at (0.0269, 0.8470, 0.4053) and O at (0.0269, 0.8512, 0.8997).



# La2EuCd

A geometry-optimized La2EuCd structure (PBE, the Alexandria database).

The calculated formation energy is -0.126 eV per atom. As for the energy above the most stable polymorph in this dataset: 0 meV/atom.

It has space group P4/mmm (No. 123), with a = 3.928 Å, b = 3.928 Å, c = 9.039 Å, α = 90.00°, β = 90.00° and γ = 90.00°. The inequivalent atoms are La at (0.000, 0.000, 0.213), Eu at (0.500, 0.500, 0.500) and Cd at (0.500, 0.500, 0.000).



# Li2GeAu3

A geometry-optimized Li2GeAu3 structure (PBE, the Alexandria database).

The calculated formation energy is -0.393 eV per atom. As for the energy above the most stable polymorph in this dataset: 0 meV/atom.

It has space group P-3m1 (No. 164), with a = 4.5003 Å, b = 4.5003 Å, c = 11.1516 Å, α = 90.00°, β = 90.00° and γ = 120.00°. The inequivalent atoms are Li at (0.0000, 0.0000, 0.0000), Li at (0.0000, 0.0000, 0.5000), Li at (0.3333, 0.6667, 0.1662), Ge at (0.3333, 0.6667, 0.6715), Au at (0.0000, 0.0000, 0.2418), Au at (0.3333, 0.6667, 0.4190) and Au at (0.3333, 0.6667, 0.9242).



# LiMg5Zn3

A geometry-optimized LiMg5Zn3 structure (PBE, the Alexandria database).

The calculated formation energy is -0.079 eV per atom. As for the energy above the most stable polymorph in this dataset: 0 meV/atom.

It has space group P6_3/mcm (No. 193), with a = 8.1992 Å, b = 8.1992 Å, c = 5.8979 Å, α = 90.00°, β = 90.00° and γ = 120.00°. The inequivalent atoms are Li at (0.0000, 0.0000, 0.0000), Mg at (0.0000, 0.3155, 0.2500), Mg at (0.3333, 0.6667, 0.0000) and Zn at (0.0000, 0.3478, 0.7500).



# Pm4InTe2Se

A geometry-optimized Pm4InTe2Se structure (PBE, the Alexandria database).

The total energy is -5.21 eV/atom.

It has space group P2/m (No. 10), with a = 7.643 Å, b = 4.360 Å, c = 7.723 Å, α = 90.00°, β = 108.89° and γ = 90.00°. The inequivalent atoms are Pm at (0.240, 0.000, 0.231), Pm at (0.249, 0.500, 0.759), In at (0.500, 0.000, 0.000), Te at (0.000, 0.000, 0.500), Te at (0.500, 0.500, 0.500) and Se at (0.000, 0.500, 0.000).



# Li2ZnSi

A geometry-optimized Li2ZnSi structure (PBE, the Alexandria database).

The total energy is -2.74 eV/atom.

It has space group R-3m (No. 166, hexagonal axes), with a = 2.7322 Å, b = 2.7322 Å, c = 27.0261 Å, α = 90.00°, β = 90.00° and γ = 120.00°. The inequivalent atoms are Li at (0.0000, 0.0000, 0.2458), Zn at (0.0000, 0.0000, 0.0000) and Si at (0.0000, 0.0000, 0.5000).



# MgTl2P

A geometry-optimized MgTl2P structure (PBE, the Alexandria database).

The calculated formation energy is -0.081 eV per atom. As for the energy above the most stable polymorph in this dataset: 15 meV/atom.

It has space group Pm (No. 6), with a = 3.695 Å, b = 3.724 Å, c = 7.839 Å, α = 90.00°, β = 100.10° and γ = 90.00°. The inequivalent atoms are Mg at (0.000, 0.000, 0.000), Tl at (0.232, 0.500, 0.662), Tl at (0.640, 0.000, 0.349) and P at (0.516, 0.500, 0.028).



# Ho4CdIn

A geometry-optimized Ho4CdIn structure (PBE, the Alexandria database).

The calculated formation energy is 0.008 eV per atom. As for the energy above the most stable polymorph in this dataset: 256 meV/atom.

It has space group P4/mmm (No. 123), with a = 5.116 Å, b = 5.116 Å, c = 7.339 Å, α = 90.00°, β = 90.00° and γ = 90.00°. The inequivalent atoms are Ho at (0.000, 0.500, 0.244), Cd at (0.000, 0.000, 0.000) and In at (0.500, 0.500, 0.500).



# Mg2TcF

A geometry-optimized Mg2TcF structure (PBE, the Alexandria database).

As for the energy above the most stable polymorph in this dataset: 0 meV/atom.

It has space group I-42d (No. 122), with a = 6.283 Å, b = 6.283 Å, c = 6.742 Å, α = 90.00°, β = 90.00° and γ = 90.00°. The inequivalent atoms are Mg at (0.163, 0.750, 0.125), Tc at (0.000, 0.000, 0.500) and F at (0.000, 0.000, 0.000).



# Be2ReF

A geometry-optimized Be2ReF structure (PBE, the Alexandria database).

As for the energy above the most stable polymorph in this dataset: 0 meV/atom.

It has space group Cmmm (No. 65), with a = 3.261 Å, b = 4.167 Å, c = 6.538 Å, α = 90.00°, β = 90.00° and γ = 90.00°. The inequivalent atoms are Be at (0.000, 0.000, 0.237), Re at (0.000, 0.500, 0.500) and F at (0.000, 0.000, 0.000).



Number 1: DOS(E_F) 5.26 states/eV/cell. Number 2: DOS(E_F) 6.17 states/eV/cell. Number 3: DOS(E_F) 40.69 states/eV/cell. Number 4: DOS(E_F) 4.93 states/eV/cell. Number 5: DOS(E_F) 2.77 states/eV/cell. Number 6: DOS(E_F) 5.66 states/eV/cell. Number 7: DOS(E_F) 3.44 states/eV/cell. Number 8: DOS(E_F) 2.10 states/eV/cell. Number 9: DOS(E_F) 1.74 states/eV/cell. Number 10: DOS(E_F) 7.45 states/eV/cell. Number 11: DOS(E_F) 7.73 states/eV/cell. Number 12: DOS(E_F) 1.58 states/eV/cell.